Computed, not measured: a relaxed structure of Dy3UPt12 at the PBE-GGA level of DFT.

Calculated values
Its energy of formation is -0.9846 eV/atom.

```
data_Dy3UPt12
_cell_length_a 4.130
_cell_length_b 4.130
_cell_length_c 16.472
_cell_angle_alpha 90.00
_cell_angle_beta 90.00
_cell_angle_gamma 90.00
_symmetry_space_group_name_H-M 'P 1'
_symmetry_Int_Tables_number 1
loop_
_symmetry_equiv_pos_as_xyz
'x,y,z'
loop_
_atom_site_label
_atom_site_type_symbol
_atom_site_fract_x
_atom_site_fract_y
_atom_site_fract_z
Dy1 Dy 0.000 0.000 0.000
Dy2 Dy 0.000 0.000 0.247
Dy3 Dy 0.000 0.000 0.753
U1 U 0.000 0.000 0.500
Pt1 Pt 0.000 0.500 0.125
Pt2 Pt 0.000 0.500 0.378
Pt3 Pt 0.000 0.500 0.622
Pt4 Pt 0.000 0.500 0.875
Pt5 Pt 0.500 0.000 0.125
Pt6 Pt 0.500 0.000 0.378
Pt7 Pt 0.500 0.000 0.622
Pt8 Pt 0.500 0.000 0.875
Pt9 Pt 0.500 0.500 0.000
Pt10 Pt 0.500 0.500 0.251
Pt11 Pt 0.500 0.500 0.500
Pt12 Pt 0.500 0.500 0.749
```



Computed, not measured: a relaxed structure of Dy2VPt9 at the PBE-GGA level of DFT.

Calculated values
Its energy of formation is -0.8426 eV/atom.

```
data_Dy2VPt9
_cell_length_a 4.051
_cell_length_b 4.051
_cell_length_c 12.175
_cell_angle_alpha 90.00
_cell_angle_beta 90.00
_cell_angle_gamma 90.00
_symmetry_space_group_name_H-M 'P 1'
_symmetry_Int_Tables_number 1
loop_
_symmetry_equiv_pos_as_xyz
'x,y,z'
loop_
_atom_site_label
_atom_site_type_symbol
_atom_site_fract_x
_atom_site_fract_y
_atom_site_fract_z
Dy1 Dy 0.000 0.000 0.169
Dy2 Dy 0.000 0.000 0.831
V1 V 0.000 0.000 0.500
Pt1 Pt 0.000 0.500 0.000
Pt2 Pt 0.000 0.500 0.348
Pt3 Pt 0.000 0.500 0.652
Pt4 Pt 0.500 0.000 0.000
Pt5 Pt 0.500 0.000 0.348
Pt6 Pt 0.500 0.000 0.652
Pt7 Pt 0.500 0.500 0.174
Pt8 Pt 0.500 0.500 0.500
Pt9 Pt 0.500 0.500 0.826
```



Computed, not measured: a relaxed structure of DyVPt at the PBE-GGA level of DFT.

Calculated values
Its energy of formation is -0.3239 eV/atom.

```
data_DyVPt
_cell_length_a 4.542
_cell_length_b 5.829
_cell_length_c 8.501
_cell_angle_alpha 90.00
_cell_angle_beta 90.00
_cell_angle_gamma 90.00
_symmetry_space_group_name_H-M 'P 1'
_symmetry_Int_Tables_number 1
loop_
_symmetry_equiv_pos_as_xyz
'x,y,z'
loop_
_atom_site_label
_atom_site_type_symbol
_atom_site_fract_x
_atom_site_fract_y
_atom_site_fract_z
Dy1 Dy 0.000 0.250 0.123
Dy2 Dy 0.000 0.750 0.877
Dy3 Dy 0.500 0.250 0.377
Dy4 Dy 0.500 0.750 0.623
V1 V 0.000 0.250 0.772
V2 V 0.000 0.750 0.228
V3 V 0.500 0.250 0.728
V4 V 0.500 0.750 0.272
Pt1 Pt 0.000 0.000 0.500
Pt2 Pt 0.000 0.500 0.500
Pt3 Pt 0.500 0.000 0.000
Pt4 Pt 0.500 0.500 0.000
```



Computed, not measured: a relaxed structure of DyY2Pt2 at the PBE-GGA level of DFT.

Calculated values
Its energy of formation is -1.0568 eV/atom.

```
data_DyY2Pt2
_cell_length_a 7.706
_cell_length_b 7.706
_cell_length_c 4.035
_cell_angle_alpha 90.00
_cell_angle_beta 90.00
_cell_angle_gamma 90.00
_symmetry_space_group_name_H-M 'P 1'
_symmetry_Int_Tables_number 1
loop_
_symmetry_equiv_pos_as_xyz
'x,y,z'
loop_
_atom_site_label
_atom_site_type_symbol
_atom_site_fract_x
_atom_site_fract_y
_atom_site_fract_z
Dy1 Dy 0.000 0.000 0.000
Dy2 Dy 0.500 0.500 0.000
Y1 Y 0.161 0.339 0.500
Y2 Y 0.339 0.839 0.500
Y3 Y 0.661 0.161 0.500
Y4 Y 0.839 0.661 0.500
Pt1 Pt 0.139 0.639 0.000
Pt2 Pt 0.361 0.139 0.000
Pt3 Pt 0.639 0.861 0.000
Pt4 Pt 0.861 0.361 0.000
```